KTa2Ag: relaxed, PBE-GGA.

CIF file:
```
data_KTa2Ag
_cell_length_a 9.9755
_cell_length_b 2.8498
_cell_length_c 7.3484
_cell_angle_alpha 90.00
_cell_angle_beta 97.57
_cell_angle_gamma 90.00
_symmetry_space_group_name_H-M 'C 1 m 1'
_symmetry_Int_Tables_number 8
loop_
_symmetry_equiv_pos_as_xyz
'x,y,z'
'x,-y,z'
'x+1/2,y+1/2,z'
'x+1/2,-y+1/2,z'
loop_
_atom_site_label
_atom_site_type_symbol
_atom_site_fract_x
_atom_site_fract_y
_atom_site_fract_z
K1 K 0.0000 0.0000 0.0000
Ta1 Ta 0.0237 0.5000 0.4726
Ta2 Ta 0.2918 0.5000 0.4005
Ag1 Ag 0.2322 0.0000 0.7211
```

Output
Density: 8.16 Mg/m³
Distance to the lowest polymorph of the same formula: 297 meV per atom
Calculated total energy: -48.67 eV/cell